# PuScInRu, relaxed, DFT PBE
# Total moment, Bohr magnetons per cell: 4.61
# Formation energy, kJ/mol of atoms: -35.26
# N(E_F), states/eV/atom: 1.441
data_PuScInRu
_space_group_name_H-M_alt 'P 4 m m'
_space_group_IT_number 99
_cell_length_a 3.235
_cell_length_b 3.235
_cell_length_c 8.094
_cell_angle_alpha 90.00
_cell_angle_beta 90.00
_cell_angle_gamma 90.00
loop_
_space_group_symop_operation_xyz
'x,y,z'
'-y,x,z'
'-x,-y,z'
'y,-x,z'
'-x,y,z'
'y,x,z'
'x,-y,z'
'-y,-x,z'
loop_
_atom_site_label
_atom_site_fract_x
_atom_site_fract_y
_atom_site_fract_z
Pu1 0.000 0.000 0.000
Sc1 0.000 0.000 0.586
In1 0.500 0.500 0.309
Ru1 0.500 0.500 0.775

# KMnRh, relaxed, DFT PBE
# Total moment, Bohr magnetons per cell: 8.90
# Formation energy, kJ/mol of atoms: 37.66
# N(E_F), states/eV/atom: 0.566
data_KMnRh
_space_group_name_H-M_alt 'I 4 m m'
_space_group_IT_number 107
_space_group_name_Hall 'I 4 -2'
_cell_length_a 3.358
_cell_length_b 3.358
_cell_length_c 12.459
_cell_angle_alpha 90.00
_cell_angle_beta 90.00
_cell_angle_gamma 90.00
loop_
_atom_site_label
_atom_site_fract_x
_atom_site_fract_y
_atom_site_fract_z
K1 0.000 0.000 0.000
Mn1 0.000 0.000 0.727
Rh1 0.000 0.000 0.291

# Tb2CePm12, relaxed, DFT PBE
# Total moment, Bohr magnetons per cell: 2.60
# Formation energy, kJ/mol of atoms: 31.99
# N(E_F), states/eV/atom: 1.723
data_Tb2CePm12
_space_group_name_H-M_alt 'P 4/n b m'
_space_group_IT_number 125
_cell_length_a 6.529
_cell_length_b 6.529
_cell_length_c 25.417
_cell_angle_alpha 90.00
_cell_angle_beta 90.00
_cell_angle_gamma 90.00
loop_
_space_group_symop_operation_xyz
'x,y,z'
'-x,-y,-z'
'-y+1/2,x,z'
'y+1/2,-x,-z'
'-x+1/2,-y+1/2,z'
'x+1/2,y+1/2,-z'
'y,-x+1/2,z'
'-y,x+1/2,-z'
'x,-y+1/2,-z'
'-x,y+1/2,z'
'-y+1/2,-x+1/2,-z'
'y+1/2,x+1/2,z'
'-x+1/2,y,-z'
'x+1/2,-y,z'
'y,x,-z'
'-y,-x,z'
loop_
_atom_site_label
_atom_site_fract_x
_atom_site_fract_y
_atom_site_fract_z
Tb1 0.250 0.750 0.228
Ce1 0.250 0.750 0.500
Pm1 0.067 0.567 0.386
Pm2 0.082 0.582 0.938
Pm3 0.250 0.250 0.163
Pm4 0.250 0.250 0.285

What did the first record say?
# PuScInRu, relaxed, DFT PBE
# Total moment, Bohr magnetons per cell: 4.61
# Formation energy, kJ/mol of atoms: -35.26
# N(E_F), states/eV/atom: 1.441
data_PuScInRu
_space_group_name_H-M_alt 'P 4 m m'
_space_group_IT_number 99
_cell_length_a 3.235
_cell_length_b 3.235
_cell_length_c 8.094
_cell_angle_alpha 90.00
_cell_angle_beta 90.00
_cell_angle_gamma 90.00
loop_
_space_group_symop_operation_xyz
'x,y,z'
'-y,x,z'
'-x,-y,z'
'y,-x,z'
'-x,y,z'
'y,x,z'
'x,-y,z'
'-y,-x,z'
loop_
_atom_site_label
_atom_site_fract_x
_atom_site_fract_y
_atom_site_fract_z
Pu1 0.000 0.000 0.000
Sc1 0.000 0.000 0.586
In1 0.500 0.500 0.309
Ru1 0.500 0.500 0.775

Copy entry 2 word for word.
# KMnRh, relaxed, DFT PBE
# Total moment, Bohr magnetons per cell: 8.90
# Formation energy, kJ/mol of atoms: 37.66
# N(E_F), states/eV/atom: 0.566
data_KMnRh
_space_group_name_H-M_alt 'I 4 m m'
_space_group_IT_number 107
_space_group_name_Hall 'I 4 -2'
_cell_length_a 3.358
_cell_length_b 3.358
_cell_length_c 12.459
_cell_angle_alpha 90.00
_cell_angle_beta 90.00
_cell_angle_gamma 90.00
loop_
_atom_site_label
_atom_site_fract_x
_atom_site_fract_y
_atom_site_fract_z
K1 0.000 0.000 0.000
Mn1 0.000 0.000 0.727
Rh1 0.000 0.000 0.291

Q: Among the records above, which one has the highest N(E_F)?
A: Tb2CePm12